This record from the Alexandria database describes a PBEsol-optimized structure of LaNi5H6. The functional is meta-GGA SCAN.

- Volume: 99.4 Å³/cell
- Space-group type: P6mm (183)
- Energy relative to the lowest polymorph listed for this composition: 70.2 meV per atom

a = 5.3250 Å, b = 5.3250 Å, c = 4.0461 Å
α = 90.00°, β = 90.00°, γ = 120.00°
Fractional coordinates of all 12 atoms:
La: 0.0000 0.0000 0.0000
Ni: 0.0000 0.5000 0.6335
Ni: 0.3333 0.6667 0.1220
Ni: 0.5000 0.0000 0.6335
Ni: 0.5000 0.5000 0.6335
Ni: 0.6667 0.3333 0.1220
H: 0.2027 0.4054 0.4160
H: 0.2027 0.7973 0.4160
H: 0.4054 0.2027 0.4160
H: 0.5946 0.7973 0.4160
H: 0.7973 0.2027 0.4160
H: 0.7973 0.5946 0.4160